A geometry-optimized Be2FeHOs structure, computed with GGA-PBE.

## Properties
Size of the total moment in μB/f.u.: 2.20
Calculated total energy in eV per formula unit: -30.2

a b c (Å): 3.756 3.756 3.117
angles (deg): 90.00 90.00 90.00
Space group P4/mmm (No. 123)
Inequivalent atoms, fractional coordinates:
1 Be 0.000 0.500 0.000 [2 per cell]
2 Fe 0.000 0.000 0.500 [1 per cell]
3 H 0.000 0.000 0.000 [1 per cell]
4 Os 0.500 0.500 0.500 [1 per cell]